# 1
GGA-PBE LiHfFeBi, optimized geometry; total magnetic moment = 1.7 μB/cell; symmetry = F-43m (216); crystal system = cubic; energy above the lowest structure with this stoichiometry = 0.2355 eV per atom
1.0
0.563 -2.531 3.966
-2.470 1.109 3.889
-3.469 -2.859 1.499
Li Hf Fe Bi
1 1 1 1
Direct
0.750 0.750 0.750 Li
0.250 0.250 0.250 Hf
0.500 0.500 0.500 Fe
0.000 0.000 0.000 Bi

***

# 2
GGA-PBE Er2Tm2Ir3, optimized geometry; total magnetic moment = 0.0 μB/cell; energy of formation from the pure elements = -0.88 eV per atom; symmetry = C2/m (12); crystal system = monoclinic
1.0
4.743 0.000 0.000
-2.370 4.108 0.000
-0.007 -2.731 7.807
Er Ir Tm
2 3 2
Direct
0.126 0.251 0.376 Er
0.874 0.749 0.624 Er
0.000 0.000 0.000 Ir
0.250 0.500 0.751 Ir
0.750 0.500 0.249 Ir
0.376 0.752 0.128 Tm
0.624 0.248 0.872 Tm

***

# 3
GGA-PBE ZrPb, optimized geometry; total magnetic moment = 0.0 μB/cell; symmetry = Pmmn (59); crystal system = orthorhombic
1.0
-3.722 -3.340 1.449
0.559 -1.807 -2.729
3.879 -3.090 2.840
Pb Zr
2 2
Direct
0.375 0.000 0.500 Pb
0.458 0.500 0.000 Pb
0.953 0.000 0.000 Zr
0.880 0.500 0.500 Zr

***

# 4
GGA-PBE ZnFeCl4, optimized geometry; total magnetic moment = 4.0 μB/cell; symmetry = P1 (1); crystal system = triclinic
1.0
-1.058 -3.375 -0.112
1.144 -2.382 6.417
-4.635 -0.518 4.773
Cl Zn Fe
4 1 1
Direct
0.247 0.380 0.978 Cl
0.976 0.328 0.561 Cl
0.748 0.880 0.476 Cl
0.476 0.830 0.059 Cl
0.362 0.603 0.519 Zn
0.862 0.104 0.019 Fe

***

# 5
GGA-PBE LiLuFeBi, optimized geometry; total magnetic moment = 1.0 μB/cell; symmetry = F-43m (216); crystal system = cubic; energy above the lowest structure with this stoichiometry = 0.0000 eV per atom
1.0
0.000 3.295 3.295
3.295 0.000 3.295
3.295 3.295 0.000
Bi Li Fe Lu
1 1 1 1
Direct
0.000 0.000 0.000 Bi
0.250 0.250 0.250 Li
0.750 0.750 0.750 Fe
0.500 0.500 0.500 Lu

***

# 6
GGA-PBE RbGeMo, optimized geometry; total magnetic moment = 3.0 μB/cell; symmetry = F-43m (216); crystal system = cubic; energy above the lowest structure with this stoichiometry = 0.0000 eV per atom
1.0
-3.043 1.897 3.362
-0.261 4.871 0.608
-4.020 2.443 -1.425
Ge Mo Rb
1 1 1
Direct
0.250 0.250 0.250 Ge
0.000 0.000 0.000 Mo
0.750 0.750 0.750 Rb

***

# 7
GGA-PBE Al8W5, optimized geometry; total magnetic moment = 0.0 μB/cell; symmetry = R-3m (166); crystal system = trigonal; energy above the lowest structure with this stoichiometry = 0.0122 eV per atom
1.0
3.979 -6.626 5.526
6.435 -2.368 6.577
1.968 -3.282 8.696
Al W
8 5
Direct
0.586 0.090 0.090 Al
0.910 0.414 0.910 Al
0.090 0.090 0.586 Al
0.414 0.910 0.910 Al
0.090 0.586 0.090 Al
0.454 0.454 0.454 Al
0.546 0.546 0.546 Al
0.910 0.910 0.414 Al
0.000 0.000 0.000 W
0.646 0.646 0.646 W
0.354 0.354 0.354 W
0.169 0.169 0.169 W
0.831 0.831 0.831 W

***

# 8
GGA-PBE Cs4TcGeS6, optimized geometry; total magnetic moment = 1.0 μB/cell; symmetry = P1 (1); crystal system = triclinic
1.0
-6.375 1.941 -2.863
-6.043 -0.659 4.830
-2.325 8.453 2.655
S Cs Tc Ge
6 4 1 1
Direct
0.818 0.644 0.278 S
0.309 0.970 0.485 S
0.619 0.163 0.099 S
0.377 0.836 0.905 S
0.699 0.028 0.503 S
0.178 0.358 0.727 S
0.917 0.801 0.855 Cs
0.090 0.191 0.139 Cs
0.336 0.558 0.313 Cs
0.658 0.450 0.692 Cs
0.631 0.943 0.316 Tc
0.367 0.059 0.688 Ge

***

# 9
GGA-PBE Nb2FeTe, optimized geometry; total magnetic moment = 0.9 μB/cell; symmetry = F-43m (216); crystal system = cubic
1.0
2.862 0.413 3.522
2.296 3.885 0.626
-1.058 2.735 3.487
Nb Fe Te
2 1 1
Direct
0.750 0.750 0.750 Nb
0.000 0.000 0.000 Nb
0.250 0.250 0.250 Fe
0.500 0.500 0.500 Te

***

# 10
GGA-PBE BaLiPrSe3, optimized geometry; total magnetic moment = 0.0 μB/cell; symmetry = Cmcm (63); crystal system = orthorhombic; energy above the lowest structure with this stoichiometry = 0.0022 eV per atom
1.0
2.896 -0.143 -6.805
-4.044 3.860 4.844
9.260 4.885 3.838
Se Pr Li Ba
6 2 2 2
Direct
0.136 0.864 0.067 Se
0.864 0.136 0.933 Se
0.864 0.136 0.567 Se
0.136 0.864 0.433 Se
0.428 0.572 0.250 Se
0.572 0.428 0.750 Se
0.500 0.500 0.000 Pr
0.500 0.500 0.500 Pr
0.972 0.028 0.750 Li
0.028 0.972 0.250 Li
0.752 0.248 0.250 Ba
0.248 0.752 0.750 Ba

***

# 11
GGA-PBE Ni11As8, optimized geometry; total magnetic moment = 0.0 μB/cell; symmetry = C2/c (15); crystal system = monoclinic
1.0
4.865 -4.867 0.000
4.865 4.867 0.000
-2.408 0.000 10.932
Ni As
22 16
Direct
0.854 0.532 0.407 Ni
0.189 0.811 0.750 Ni
0.146 0.468 0.593 Ni
0.085 0.651 0.093 Ni
0.460 0.651 0.093 Ni
0.915 0.349 0.907 Ni
0.922 0.853 0.906 Ni
0.198 0.323 0.786 Ni
0.651 0.085 0.593 Ni
0.802 0.677 0.214 Ni
0.468 0.146 0.093 Ni
0.532 0.854 0.907 Ni
0.323 0.198 0.286 Ni
0.349 0.915 0.407 Ni
0.349 0.540 0.407 Ni
0.540 0.349 0.907 Ni
0.677 0.802 0.714 Ni
0.853 0.922 0.406 Ni
0.811 0.189 0.250 Ni
0.147 0.078 0.594 Ni
0.651 0.460 0.593 Ni
0.078 0.147 0.094 Ni
0.066 0.443 0.249 As
0.067 0.933 0.250 As
0.933 0.067 0.750 As
0.752 0.126 0.007 As
0.126 0.752 0.507 As
0.251 0.376 0.001 As
0.443 0.066 0.749 As
0.557 0.443 0.250 As
0.749 0.624 0.999 As
0.557 0.934 0.251 As
0.443 0.557 0.750 As
0.248 0.874 0.993 As
0.624 0.749 0.499 As
0.934 0.557 0.751 As
0.376 0.251 0.501 As
0.874 0.248 0.493 As

***

# 12
GGA-PBE RbCuReTeSe2, optimized geometry; total magnetic moment = 3.9 μB/cell; symmetry = Cmcm (63); crystal system = orthorhombic
1.0
1.906 -8.135 0.000
1.906 8.135 0.000
0.000 0.000 10.121
Re Se Rb Te Cu
2 4 2 2 2
Direct
0.500 0.500 0.500 Re
0.500 0.500 0.000 Re
0.104 0.896 0.955 Se
0.104 0.896 0.545 Se
0.896 0.104 0.045 Se
0.896 0.104 0.455 Se
0.728 0.272 0.750 Rb
0.272 0.728 0.250 Rb
0.424 0.576 0.750 Te
0.576 0.424 0.250 Te
0.968 0.032 0.250 Cu
0.032 0.968 0.750 Cu

***

# 13
GGA-PBE AcAgO2, optimized geometry; total magnetic moment = 0.0 μB/cell; symmetry = P3_221 (154); crystal system = trigonal
1.0
3.973 0.000 0.000
-1.987 3.441 0.000
0.000 0.000 18.541
O Ac Ag
6 3 3
Direct
0.663 0.667 0.611 O
0.337 0.004 0.056 O
0.004 0.337 0.944 O
0.996 0.333 0.723 O
0.667 0.663 0.389 O
0.333 0.996 0.277 O
0.329 0.000 0.667 Ac
0.000 0.329 0.333 Ac
0.671 0.671 0.000 Ac
0.335 0.000 0.167 Ag
0.665 0.665 0.500 Ag
0.000 0.335 0.833 Ag

***

# 14
GGA-PBE NdZn, optimized geometry; total magnetic moment = 0.0 μB/cell; energy of formation from the pure elements = -0.04 eV per atom; symmetry = P-6m2 (187); crystal system = hexagonal
1.0
3.106 -1.793 0.000
0.000 3.587 0.000
0.000 0.000 4.760
Zn Nd
1 1
Direct
0.667 0.333 0.500 Zn
0.000 0.000 0.000 Nd

***

# 15
GGA-PBE TlFeMoW, optimized geometry; total magnetic moment = 1.3 μB/cell; symmetry = F-43m (216); crystal system = cubic; energy above the lowest structure with this stoichiometry = 0.0000 eV per atom
1.0
0.000 3.186 3.186
3.186 0.000 3.186
3.186 3.186 0.000
Tl W Mo Fe
1 1 1 1
Direct
0.000 0.000 0.000 Tl
0.500 0.500 0.500 W
0.250 0.250 0.250 Mo
0.750 0.750 0.750 Fe

***

# 16
GGA-PBE Tm2Ga4NiIr, optimized geometry; total magnetic moment = 0.0 μB/cell; symmetry = Amm2 (38); crystal system = orthorhombic
1.0
6.772 0.000 0.000
0.000 2.082 4.989
0.000 -2.082 4.989
Ga Ir Ni Tm
4 1 1 2
Direct
0.311 0.137 0.137 Ga
0.206 0.861 0.861 Ga
0.689 0.137 0.137 Ga
0.794 0.861 0.861 Ga
0.000 0.291 0.291 Ir
0.500 0.709 0.709 Ni
0.500 0.425 0.425 Tm
0.000 0.578 0.578 Tm

***

# 17
GGA-PBE Hg2PbS3, optimized geometry; symmetry = Cmcm (63); crystal system = orthorhombic
1.0
6.825 -1.961 0.000
6.825 1.961 0.000
0.000 0.000 12.201
S Hg Pb
6 4 2
Direct
0.610 0.610 0.914 S
0.390 0.390 0.086 S
0.136 0.136 0.250 S
0.390 0.390 0.414 S
0.864 0.864 0.750 S
0.610 0.610 0.586 S
0.490 0.490 0.750 Hg
0.510 0.510 0.250 Hg
0.000 0.000 0.500 Hg
0.000 0.000 0.000 Hg
0.213 0.213 0.750 Pb
0.787 0.787 0.250 Pb

***

# 18
GGA-PBE TaF5, optimized geometry; total magnetic moment = 0.0 μB/cell; symmetry = Pmmn (59); crystal system = orthorhombic; energy above the lowest structure with this stoichiometry = 0.0786 eV per atom
1.0
5.509 0.000 0.000
0.000 6.121 0.000
0.000 0.000 4.566
F Ta
10 2
Direct
0.293 0.000 0.863 F
0.207 0.500 0.137 F
0.500 0.500 0.739 F
0.000 0.000 0.261 F
0.707 0.000 0.863 F
0.500 0.193 0.364 F
0.793 0.500 0.137 F
0.000 0.693 0.636 F
0.000 0.307 0.636 F
0.500 0.807 0.364 F
0.000 0.000 0.672 Ta
0.500 0.500 0.328 Ta

***

# 19
GGA-PBE CdH10C2N6Cl2O2, optimized geometry; symmetry = Pbcn (60); crystal system = orthorhombic
1.0
12.802 0.000 0.000
0.000 7.656 0.000
0.000 0.000 9.295
Cl H C N Cd O
8 40 8 24 4 8
Direct
0.558 0.764 0.073 Cl
0.058 0.736 0.927 Cl
0.942 0.736 0.573 Cl
0.058 0.264 0.427 Cl
0.442 0.764 0.427 Cl
0.942 0.264 0.073 Cl
0.442 0.236 0.927 Cl
0.558 0.236 0.573 Cl
0.904 0.690 0.158 H
0.904 0.310 0.658 H
0.375 0.650 0.959 H
0.353 0.062 0.061 H
0.609 0.113 0.830 H
0.853 0.438 0.939 H
0.353 0.938 0.561 H
0.109 0.613 0.670 H
0.404 0.810 0.842 H
0.596 0.810 0.658 H
0.391 0.887 0.170 H
0.875 0.850 0.041 H
0.596 0.190 0.158 H
0.853 0.562 0.439 H
0.783 0.286 0.159 H
0.783 0.714 0.659 H
0.283 0.214 0.841 H
0.717 0.786 0.159 H
0.647 0.938 0.939 H
0.625 0.350 0.041 H
0.217 0.286 0.341 H
0.647 0.062 0.439 H
0.125 0.850 0.459 H
0.891 0.613 0.830 H
0.891 0.387 0.330 H
0.375 0.350 0.459 H
0.096 0.690 0.342 H
0.625 0.650 0.541 H
0.283 0.786 0.341 H
0.404 0.190 0.342 H
0.875 0.150 0.541 H
0.096 0.310 0.842 H
0.109 0.387 0.170 H
0.147 0.438 0.561 H
0.217 0.714 0.841 H
0.609 0.887 0.330 H
0.125 0.150 0.959 H
0.391 0.113 0.670 H
0.717 0.214 0.659 H
0.147 0.562 0.061 H
0.765 0.957 0.317 C
0.235 0.957 0.183 C
0.735 0.543 0.817 C
0.235 0.043 0.683 C
0.765 0.043 0.817 C
0.265 0.543 0.683 C
0.265 0.457 0.183 C
0.735 0.457 0.317 C
0.334 0.029 0.637 N
0.282 0.662 0.789 N
0.218 0.162 0.789 N
0.620 0.318 0.149 N
0.166 0.471 0.137 N
0.120 0.182 0.851 N
0.380 0.318 0.351 N
0.834 0.529 0.863 N
0.718 0.662 0.711 N
0.166 0.529 0.637 N
0.880 0.818 0.149 N
0.620 0.682 0.649 N
0.666 0.971 0.363 N
0.120 0.818 0.351 N
0.282 0.338 0.289 N
0.718 0.338 0.211 N
0.782 0.162 0.711 N
0.666 0.029 0.863 N
0.880 0.182 0.649 N
0.834 0.471 0.363 N
0.334 0.971 0.137 N
0.218 0.838 0.289 N
0.782 0.838 0.211 N
0.380 0.682 0.851 N
0.500 0.485 0.750 Cd
0.000 0.985 0.750 Cd
0.000 0.015 0.250 Cd
0.500 0.515 0.250 Cd
0.339 0.451 0.632 O
0.161 0.951 0.632 O
0.661 0.549 0.368 O
0.839 0.951 0.868 O
0.161 0.049 0.132 O
0.839 0.049 0.368 O
0.339 0.549 0.132 O
0.661 0.451 0.868 O

***

Number 1: energy -5.917 eV per atom. Number 2: energy -7.262 eV per atom. Number 3: energy -6.184 eV per atom. Number 4: energy -3.702 eV per atom. Number 5: energy -4.792 eV per atom. Number 6: energy -4.090 eV per atom. Number 7: energy -7.205 eV per atom. Number 8: energy -4.518 eV per atom. Number 9: energy -7.556 eV per atom. Number 10: energy -4.992 eV per atom. Number 11: energy -5.501 eV per atom. Number 12: energy -4.764 eV per atom. Number 13: energy -6.370 eV per atom. Number 14: energy -3.054 eV per atom. Number 15: energy -7.926 eV per atom. Number 16: energy -5.144 eV per atom. Number 17: energy -2.872 eV per atom. Number 18: energy -6.580 eV per atom. Number 19: energy -5.532 eV per atom.